(1)
Here is a relaxed structure of Li2VO2F from the Alexandria database. Energies are from GGA+U.

The structure in extended XYZ format:
```
12
Lattice="7.729 -1.472 0.000 7.729 1.472 0.000 -1.656 0.000 4.910" Properties=species:S:1:pos:R:3 pbc="T T T"
Li 0.000 0.000 0.000
Li 1.255 0.000 4.084
Li 6.901 0.000 2.455
Li 12.547 0.000 0.826
V 4.107 0.000 3.227
V 9.695 0.000 1.683
O 0.659 0.000 2.002
O 3.360 0.000 1.287
O 10.442 0.000 3.623
O 13.143 0.000 2.907
F 6.291 0.000 0.372
F 7.511 0.000 4.537
```

Results
For the calculated volume, the calculation gives 9.3 A^3/atom. Its energy relative to the lowest polymorph listed for this composition is 46 meV per atom.


(2)
Here is a relaxed structure of TiIn2NiO6 from the Alexandria database. Energies are from GGA+U.

The structure in extended XYZ format:
```
10
Lattice="2.670 1.541 4.738 -2.670 1.541 4.738 0.000 -3.083 4.738" Properties=species:S:1:pos:R:3 pbc="T T T"
Ti 0.000 0.000 0.000
In 0.000 0.000 3.024
In 0.000 0.000 10.216
Ni 0.000 0.000 7.128
O -1.785 0.258 6.155
O -0.989 -1.337 8.583
O 0.669 -1.675 6.155
O -0.663 1.525 8.583
O 1.116 1.417 6.155
O 1.652 -0.188 8.583
```

Results
For the calculated volume, the calculation gives 11.7 A^3/atom. For the calculated total energy, the calculation gives -6.4358 eV per atom.